## Sc2NiW (GGA-PBE)

Data for crystalline Sc2NiW at its relaxed geometry.

a = 4.6111 Å, b = 4.6111 Å, c = 4.6111 Å
α = 60.00°, β = 60.00°, γ = 60.00°
Last column: nearest neighbours and their distance in Å.
Atoms (fractional coordinates):
Sc (0.2500, 0.2500, 0.2500)  4 W 2.82, 4 Ni 2.82
Sc (0.7500, 0.7500, 0.7500)  4 W 2.82, 4 Ni 2.82
Ni (0.0000, 0.0000, 0.0000)  8 Sc 2.82
W (0.5000, 0.5000, 0.5000)  8 Sc 2.82

Theoretical density: 8.0 Mg/m³
Symmetry: Fm-3m, No. 225
Magnetization: 0.613 μB/cell
DFT formation energy: 0.184 eV/atom
VASP energy: -30.66 eV/cell

***

## ScNi4W (GGA-PBE)

Data for crystalline ScNi4W at its relaxed geometry.

a = 4.7971 Å, b = 4.7971 Å, c = 4.7971 Å
α = 60.00°, β = 60.00°, γ = 60.00°
Last column: nearest neighbours and their distance in Å.
Atoms (fractional coordinates):
Sc (0.0000, 0.0000, 0.0000)  12 Ni 2.81, 4 W 2.94
Ni (0.1266, 0.6245, 0.6245)  6 Ni 2.39-2.41
Ni (0.6245, 0.1266, 0.6245)  6 Ni 2.39-2.41
Ni (0.6245, 0.6245, 0.1266)  6 Ni 2.39-2.41
Ni (0.6245, 0.6245, 0.6245)  6 Ni 2.39-2.41
W (0.2500, 0.2500, 0.2500)  12 Ni 2.81, 4 Sc 2.94

Theoretical density: 9.9 Mg/m³
Symmetry: F-43m, No. 216
Magnetization: 0.612 μB/cell
DFT formation energy: -0.123 eV/atom
VASP energy: -43.15 eV/cell

***

Q: Look up the theoretical density of the second one.
A: 9.9 Mg/m³

***

Q: VASP energy of number 2 (ScNi4W)?
A: -43.15 eV/cell

***

Q: Among the records above, which one has the highest VASP energy?
A: Sc2NiW

***

Q: Look up the theoretical density of the second one.
A: 9.9 Mg/m³